AcTb7Er12 | PBE-GGA | relaxed

a = 8.7005 Å, b = 8.7005 Å, c = 8.7005 Å
α = 87.03°, β = 87.03°, γ = 87.03°
Closest atoms and distances in Å follow each position.
Atoms (fractional coordinates):
Ac1 0.0000 0.0000 0.0000  6 Er 3.55, 6 Tb 3.84
Tb1 0.0628 0.1566 0.3947  6 Er 3.39-3.78, 3 Tb 3.40-3.55
Tb2 0.1566 0.3947 0.0628  6 Er 3.39-3.78, 3 Tb 3.40-3.55
Tb3 0.3947 0.0628 0.1566  6 Er 3.39-3.78, 3 Tb 3.40-3.55
Tb4 0.5000 0.5000 0.5000  6 Er 3.31
Tb5 0.6053 0.9372 0.8434  6 Er 3.39-3.78, 3 Tb 3.40-3.55
Tb6 0.8434 0.6053 0.9372  6 Er 3.39-3.78, 3 Tb 3.40-3.55
Tb7 0.9372 0.8434 0.6053  6 Er 3.39-3.78, 3 Tb 3.40-3.55
Er1 0.1332 0.4962 0.6230  5 Er 3.20-3.53, 2 Tb 3.31-3.39
Er2 0.1502 0.7256 0.2761  4 Er 3.20-3.53, 2 Tb 3.50, 1 Ac 3.55
Er3 0.2744 0.7239 0.8498  4 Er 3.20-3.53, 2 Tb 3.50, 1 Ac 3.55
Er4 0.2761 0.1502 0.7256  4 Er 3.20-3.53, 2 Tb 3.50, 1 Ac 3.55
Er5 0.3770 0.8668 0.5038  5 Er 3.20-3.53, 2 Tb 3.31-3.39
Er6 0.4962 0.6230 0.1332  5 Er 3.20-3.53, 2 Tb 3.31-3.39
Er7 0.5038 0.3770 0.8668  5 Er 3.20-3.53, 2 Tb 3.31-3.39
Er8 0.6230 0.1332 0.4962  5 Er 3.20-3.53, 2 Tb 3.31-3.39
Er9 0.7239 0.8498 0.2744  4 Er 3.20-3.53, 2 Tb 3.50, 1 Ac 3.55
Er10 0.7256 0.2761 0.1502  4 Er 3.20-3.53, 2 Tb 3.50, 1 Ac 3.55
Er11 0.8498 0.2744 0.7239  4 Er 3.20-3.53, 2 Tb 3.50, 1 Ac 3.55
Er12 0.8668 0.5038 0.3770  5 Er 3.20-3.53, 2 Tb 3.31-3.39

Output
crystal system = trigonal
space-group type = R-3
energy of formation from the pure elements = 238 meV/atom